DFT (GGA-PBE) results for an optimized crystal structure of PaSICl.

SG: R3m
Crystal system: trigonal
E_tot in eV/cell: -22.2

Lattice parameters (Å, degrees): 8.2753 8.2753 8.2753 31.63 31.63 31.63
With the nearest neighbours (Å) after each atom.
Element x y z (fractional)
Pa (0.0000, 0.0000, 0.0000)  3 S 2.66, 1 I 2.95
S (0.6432, 0.6432, 0.6432)  3 Pa 2.66
I (0.8748, 0.8748, 0.8748)  1 Pa 2.95
Cl (0.3973, 0.3973, 0.3973)  3 Pa 3.01, 3 S 3.32